KCa2Pa2O7 | PBE | optimized geometry

The value obtained for the formation energy (no corrections) is -3.132 eV per atom. The space group is No. 44.

abc: 4.516 4.515 10.365
angles: 102.58 102.58 90.00
Last column: magnetic moment on the atom in μB.
Fractional coordinates of all 12 atoms:
O 0.124 0.623 0.247  -0.01
O 0.725 0.725 0.450  -0.01
O 0.876 0.376 0.753  -0.01
O 0.376 0.876 0.753  -0.01
O 0.275 0.275 0.550  -0.01
O 0.624 0.123 0.247  -0.01
O 0.500 0.499 0.000  -0.01
Ca 0.250 0.750 0.500  0.01
Ca 0.750 0.250 0.500  0.01
Pa 0.611 0.611 0.223  0.49
Pa 0.389 0.389 0.777  0.49
K 0.000 0.001 0.000  0.00

---

KCaPaO4 | PBE | optimized geometry

The value obtained for the formation energy (no corrections) is -3.060 eV per atom. The space group is No. 74.

abc: 7.161 7.126 7.221
angles: 120.44 90.00 120.16
Fractional coordinates of all 14 atoms:
O 0.684 0.984 0.742
O 0.292 0.583 0.327
O 0.708 0.417 0.673
O 0.700 0.016 0.258
O 0.316 0.016 0.258
O 0.708 0.417 0.244
O 0.300 0.984 0.742
O 0.292 0.583 0.756
Pa 0.500 0.000 0.500
Pa 0.500 0.000 0.000
K 0.135 0.270 0.885
K 0.865 0.730 0.115
Ca 0.000 0.500 0.500
Ca 0.500 0.500 0.500

---

K4CaPa3O12 | PBE | optimized geometry

The value obtained for the formation energy (no corrections) is -2.674 eV per atom. The space group is No. 229.

abc: 7.639 7.639 7.639
angles: 109.47 109.47 109.47
Last column: magnetic moment on the atom in μB.
Fractional coordinates of all 20 atoms:
O 0.750 0.500 0.250  0.16
O 0.731 0.731 0.000  0.19
O 0.250 0.750 0.500  0.16
O 0.500 0.750 0.250  0.16
O 0.269 0.000 0.269  0.19
O 0.269 0.269 0.000  0.19
O 0.750 0.250 0.500  0.16
O 0.000 0.731 0.731  0.19
O 0.731 0.000 0.731  0.19
O 0.500 0.250 0.750  0.16
O 0.000 0.269 0.269  0.19
O 0.250 0.500 0.750  0.16
Pa 0.500 0.000 0.500  0.15
Pa 0.000 0.500 0.500  0.15
Pa 0.500 0.500 0.000  0.15
Ca 0.000 0.000 0.000  0.03
K 0.000 0.500 0.000  0.00
K 0.500 0.500 0.500  0.00
K 0.500 0.000 0.000  0.00
K 0.000 0.000 0.500  0.00

---

K2CaPaO4 | PBE | optimized geometry

The value obtained for the formation energy (no corrections) is -2.585 eV per atom. The space group is No. 10.

abc: 3.602 6.115 6.595
angles: 108.12 90.00 90.00
Last column: magnetic moment on the atom in μB.
Fractional coordinates of all 8 atoms:
O 0.500 0.748 0.817  -0.01
O 0.500 0.252 0.183  -0.01
O 0.000 0.716 0.189  -0.02
O 0.000 0.284 0.811  -0.02
K 0.500 0.000 0.500  0.01
K 0.000 0.500 0.500  0.01
Pa 0.500 0.500 0.000  0.88
Ca 0.000 0.000 0.000  0.01

---

K3Ca2PaO6 | PBE | optimized geometry

The value obtained for the formation energy (no corrections) is -2.674 eV per atom. The space group is No. 12.

abc: 6.111 6.111 6.562
angles: 98.92 98.92 119.98
Fractional coordinates of all 12 atoms:
Ca 0.667 0.333 0.000
Ca 0.333 0.667 0.000
Pa 0.000 0.000 0.000
O 0.756 0.756 0.189
O 0.937 0.629 0.811
O 0.063 0.371 0.189
O 0.244 0.244 0.811
O 0.629 0.937 0.811
O 0.371 0.063 0.189
K 0.500 0.500 0.500
K 0.172 0.828 0.500
K 0.828 0.172 0.500

---

KCa2PbO4 | PBE | optimized geometry

The value obtained for the formation energy (no corrections) is -1.952 eV per atom. The space group is No. 74.

abc: 7.059 7.059 7.079
angles: 120.09 120.09 88.65
Last column: magnetic moment on the atom in μB.
Fractional coordinates of all 16 atoms:
Ca 0.500 0.000 0.500  0.00
Ca 0.500 0.500 0.000  0.01
Ca 0.000 0.000 0.500  0.01
Ca 0.500 0.000 0.000  0.00
O 0.715 0.227 0.471  0.12
O 0.738 0.762 0.013  0.08
O 0.262 0.238 0.513  0.08
O 0.727 0.215 0.971  0.12
O 0.273 0.785 0.029  0.12
O 0.738 0.762 0.487  0.08
O 0.262 0.238 0.987  0.08
O 0.285 0.773 0.529  0.12
Pb 0.000 0.000 0.000  0.09
Pb 0.500 0.500 0.500  0.09
K 0.000 0.500 0.500  0.00
K 0.000 0.500 0.000  0.00

---

K3Ca2PbO6 | PBE | optimized geometry

The value obtained for the formation energy (no corrections) is -1.734 eV per atom. The space group is No. 12.

abc: 6.087 6.087 6.527
angles: 98.98 98.98 119.98
Last column: magnetic moment on the atom in μB.
Fractional coordinates of all 12 atoms:
O 0.065 0.380 0.194  0.16
O 0.750 0.750 0.194  0.16
O 0.620 0.935 0.806  0.16
O 0.380 0.065 0.194  0.16
O 0.935 0.620 0.806  0.16
O 0.250 0.250 0.806  0.16
Ca 0.333 0.667 0.000  -0.01
Ca 0.667 0.333 0.000  -0.01
K 0.500 0.500 0.500  0.00
K 0.169 0.831 0.500  0.00
K 0.831 0.169 0.500  0.00
Pb 0.000 0.000 0.000  -0.01

---

KCaPb2O | PBE | optimized geometry

The value obtained for the formation energy (no corrections) is -0.467 eV per atom. The space group is No. 123.

abc: 5.164 5.129 5.164
angles: 90.00 90.00 90.00
Fractional coordinates of all 5 atoms:
K 0.000 0.500 0.000
Ca 0.500 0.500 0.500
Pb 0.000 0.000 0.500
Pb 0.500 0.000 0.000
O 0.000 0.000 0.000